Below is a relaxed structure of YMnCl2, with properties calculated at the GGA-PBE level.

The space group is Cmmm (No. 65) and the conventional cell measures 3.506, 6.075 and 9.963 Å, with angles of 90.00, 90.00 and 90.00 degrees. The asymmetric unit holds Y at (0.000, 0.000, 0.000), Mn at (0.000, 0.000, 0.500) and Cl at (0.000, 0.500, 0.206).

Its energy above the lowest structure with this stoichiometry is 324 meV/atom. As for the uncorrected formation energy: -0.633 eV per atom. For the density, the calculation gives 3.4 g/cm3. Its volume is 26.52 Å³ per atom.